[1]
Entry from Alexandria: BaYTc3 at its PBEsol-relaxed geometry (SCAN).

Lattice parameters (Å, degrees): 4.884 4.884 4.884 90.00 90.00 90.00
Space group Pm-3m (No. 221)
Asymmetric unit:
1 Ba 0.000 0.000 0.000 (multiplicity 1)
2 Y 0.500 0.500 0.500 (multiplicity 1)
3 Tc 0.000 0.000 0.500 (multiplicity 3)

## Properties
M_tot	2.715	μB per cell
DOS at the Fermi energy	1.489	states/eV/atom
electronic total energy	-32.140	eV/atom
volume	116.5	Å³ per cell
crystal system	cubic

***

[2]
Entry from Alexandria: BaY3Tc at its PBEsol-relaxed geometry (SCAN).

Lattice parameters (Å, degrees): 5.470 5.470 5.470 90.00 90.00 90.00
Space group Pm-3m (No. 221)
Asymmetric unit:
1 Ba 0.000 0.000 0.000 (multiplicity 1)
2 Y 0.000 0.500 0.500 (multiplicity 3)
3 Tc 0.500 0.500 0.500 (multiplicity 1)

## Properties
M_tot	0.000	μB per cell
DOS at the Fermi energy	0.779	states/eV/atom
electronic total energy	-31.582	eV/atom
volume	163.7	Å³ per cell
crystal system	cubic

***

[3]
Entry from Alexandria: BaYTc2 at its PBEsol-relaxed geometry (SCAN).

Lattice parameters (Å, degrees): 3.206 3.206 9.195 90.00 90.00 90.00
Space group P4mm (No. 99)
Asymmetric unit:
1 Ba 0.000 0.000 0.000 (multiplicity 1)
2 Y 0.500 0.500 0.617 (multiplicity 1)
3 Tc 0.000 0.000 0.400 (multiplicity 1)
4 Tc 0.500 0.500 0.271 (multiplicity 1)

## Properties
M_tot	0.000	μB per cell
DOS at the Fermi energy	1.077	states/eV/atom
electronic total energy	-34.059	eV/atom
volume	94.5	Å³ per cell
crystal system	tetragonal

***

[4]
Entry from Alexandria: BaZnTc2 at its PBEsol-relaxed geometry (SCAN).

Lattice parameters (Å, degrees): 4.750 4.750 6.622 90.00 90.00 90.00
Space group I-4m2 (No. 119)
Asymmetric unit:
1 Ba 0.000 0.000 0.000 (multiplicity 2)
2 Zn 0.000 0.500 0.250 (multiplicity 2)
3 Tc 0.000 0.000 0.500 (multiplicity 2)
4 Tc 0.000 0.500 0.750 (multiplicity 2)

## Properties
M_tot	0.000	μB per cell
DOS at the Fermi energy	0.686	states/eV/atom
electronic total energy	-29.705	eV/atom
volume	149.4	Å³ per cell
crystal system	tetragonal

***

[5]
Entry from Alexandria: BaZn2Tc at its PBEsol-relaxed geometry (SCAN).

Lattice parameters (Å, degrees): 2.921 5.349 10.104 90.00 90.00 90.00
Space group Imm2 (No. 44)
Asymmetric unit:
1 Ba 0.000 0.000 0.000 (multiplicity 2)
2 Zn 0.000 0.000 0.489 (multiplicity 2)
3 Zn 0.000 0.500 0.211 (multiplicity 2)
4 Tc 0.000 0.500 0.778 (multiplicity 2)

## Properties
M_tot	1.950	μB per cell
DOS at the Fermi energy	0.635	states/eV/atom
electronic total energy	-24.743	eV/atom
volume	157.9	Å³ per cell
crystal system	orthorhombic

***

[6]
Entry from Alexandria: BaZnTc2 at its PBEsol-relaxed geometry (SCAN).

Lattice parameters (Å, degrees): 4.3546 4.3546 17.4791 90.00 90.00 120.00
Space group R-3m (No. 166, hexagonal axes)
Asymmetric unit:
1 Ba 0.0000 0.0000 0.0000 (multiplicity 3)
2 Zn 0.0000 0.0000 0.5000 (multiplicity 3)
3 Tc 0.0000 0.0000 0.1805 (multiplicity 6)

## Properties
M_tot	0.000	μB per cell
DOS at the Fermi energy	0.730	states/eV/atom
electronic total energy	-30.529	eV/atom
volume	287.0	Å³ per cell
crystal system	trigonal